DFT (PBE-GGA) results for an optimized crystal structure of NiN4.

DOS at the Fermi energy	1.611	states/eV per cell
mass density	3.6	g/cm3
DFT total energy	-5.01	eV per atom
total magnetic moment	3.05	μB/f.u.
SG	No. 221
volume	10.67	Å³/atom

Unit cell a=3.7649 b=3.7649 c=3.7649 alpha=90.00 beta=90.00 gamma=90.00
Last column: magnetic moment on the atom in μB.
Element x y z (fractional)
Ni: 0.5000 0.5000 0.5000  0.59
N: 0.5000 0.5000 0.0000  1.09
N: 0.0000 0.0000 0.0000  -1.47
N: 0.5000 0.0000 0.5000  1.09
N: 0.0000 0.5000 0.5000  1.09